Entry from Alexandria via LeMat-Bulk: a relaxed structure of Ti11CuP8 (PBEsol).

Properties
Theoretical density, Mg/m³: 4.81
Symmetry: Pbam (55)
Final energy, eV per atom: -8.284
ΔE_f, eV/atom: -1.174

Unit cell a=9.3351 b=18.2411 c=3.3981 alpha=90.00 beta=90.00 gamma=90.00
Last column: nearest neighbours and their distance in Å.
Fractional positions:
Ti 0.0000 0.0000 0.0000  6 P 2.55-2.58
Ti 0.0055 0.2709 0.0000  5 P 2.48-2.67
Ti 0.0985 0.1440 0.5000  5 P 2.44-2.49
Ti 0.1478 0.5870 0.0000  5 P 2.41-2.54
Ti 0.1856 0.4317 0.0000  5 P 2.42-2.54
Ti 0.2337 0.8025 0.5000  5 P 2.44-2.48
Ti 0.2663 0.3025 0.5000  5 P 2.44-2.48
Ti 0.3144 0.9317 0.0000  5 P 2.42-2.54
Ti 0.3522 0.0870 0.0000  5 P 2.41-2.54
Ti 0.4015 0.6440 0.5000  5 P 2.44-2.49
Ti 0.4945 0.7709 0.0000  5 P 2.48-2.67
Ti 0.5000 0.5000 0.0000  6 P 2.55-2.58
Ti 0.5055 0.2291 0.0000  5 P 2.48-2.67
Ti 0.5985 0.3560 0.5000  5 P 2.44-2.49
Ti 0.6478 0.9130 0.0000  5 P 2.41-2.54
Ti 0.6856 0.0683 0.0000  5 P 2.42-2.54
Ti 0.7337 0.6975 0.5000  5 P 2.44-2.48
Ti 0.7663 0.1975 0.5000  5 P 2.44-2.48
Ti 0.8144 0.5683 0.0000  5 P 2.42-2.54
Ti 0.8522 0.4130 0.0000  5 P 2.41-2.54
Ti 0.9015 0.8560 0.5000  5 P 2.44-2.49
Ti 0.9945 0.7291 0.0000  5 P 2.48-2.67
Cu 0.0000 0.5000 0.5000  2 P 2.41
Cu 0.5000 0.0000 0.5000  2 P 2.41
P 0.0352 0.3692 0.5000  1 Cu 2.41, 7 Ti 2.48-2.54
P 0.0871 0.8676 0.0000  7 Ti 2.42-2.67
P 0.2046 0.0187 0.5000  7 Ti 2.49-2.58, 1 Cu 2.78
P 0.2440 0.2068 0.0000  7 Ti 2.41-2.51
P 0.2560 0.7068 0.0000  7 Ti 2.41-2.51
P 0.2954 0.5187 0.5000  7 Ti 2.49-2.58, 1 Cu 2.78
P 0.4129 0.3676 0.0000  7 Ti 2.42-2.67
P 0.4648 0.8692 0.5000  1 Cu 2.41, 7 Ti 2.48-2.54
P 0.5352 0.1308 0.5000  1 Cu 2.41, 7 Ti 2.48-2.54
P 0.5871 0.6324 0.0000  7 Ti 2.42-2.67
P 0.7046 0.4813 0.5000  7 Ti 2.49-2.58, 1 Cu 2.78
P 0.7440 0.2932 0.0000  7 Ti 2.41-2.51
P 0.7560 0.7932 0.0000  7 Ti 2.41-2.51
P 0.7954 0.9813 0.5000  7 Ti 2.49-2.58, 1 Cu 2.78
P 0.9129 0.1324 0.0000  7 Ti 2.42-2.67
P 0.9648 0.6308 0.5000  1 Cu 2.41, 7 Ti 2.48-2.54

Entry from Alexandria via LeMat-Bulk: a relaxed structure of Cd5In (PBEsol).

Properties
Theoretical density, Mg/m³: 8.64
Symmetry: P-62m (189)
Final energy, eV per atom: -1.460
ΔE_f, eV/atom: 0.035
Energy above the lowest structure with this stoichiometry, meV per atom: 17

Unit cell a=5.2075 b=5.2075 c=5.5416 alpha=90.00 beta=90.00 gamma=120.00
Last column: nearest neighbours and their distance in Å.
Fractional positions:
Cd 0.0000 0.6638 0.0000  10 Cd 2.99-3.27, 2 In 3.28
Cd 0.3333 0.6667 0.5000  3 In 3.01, 9 Cd 3.01-3.27
Cd 0.3362 0.3362 0.0000  10 Cd 2.99-3.27, 2 In 3.28
Cd 0.6638 0.0000 0.0000  10 Cd 2.99-3.27, 2 In 3.28
Cd 0.6667 0.3333 0.5000  3 In 3.01, 9 Cd 3.01-3.27
In 0.0000 0.0000 0.5000  12 Cd 3.01-3.28

Entry from Alexandria via LeMat-Bulk: a relaxed structure of OsRh2Br (PBEsol).

Properties
Theoretical density, Mg/m³: 11.94
Symmetry: Pmmm (47)
Final energy, eV per atom: -7.114
Energy relative to the elements, uncorrected, meV per atom: 476.5
Energy above the lowest structure with this stoichiometry, meV per atom: 30

Unit cell a=2.7482 b=3.5315 c=6.8220 alpha=90.00 beta=90.00 gamma=90.00
Last column: nearest neighbours and their distance in Å.
Fractional positions:
Os 0.0000 0.0000 0.0000  8 Rh 2.60, 2 Os 2.75
Rh 0.5000 0.5000 0.1933  4 Os 2.60, 3 Rh 2.64-2.75, 2 Br 2.74
Rh 0.5000 0.5000 0.8067  4 Os 2.60, 3 Rh 2.64-2.75, 2 Br 2.74
Br 0.5000 0.0000 0.5000  4 Rh 2.74, 2 Br 2.75

Entry from Alexandria via LeMat-Bulk: a relaxed structure of CoIr2Rh (PBEsol).

Properties
Theoretical density, Mg/m³: 17.30
Symmetry: R-3m (166)
Final energy, eV per atom: -8.874
ΔE_f, eV/atom: 0.007
Energy above the lowest structure with this stoichiometry, meV per atom: 4

Unit cell a=8.6645 b=8.6645 c=8.6645 alpha=17.69 beta=17.69 gamma=17.69
Last column: nearest neighbours and their distance in Å.
Fractional positions:
Co 0.0000 0.0000 0.0000  6 Ir 2.55, 6 Co 2.66
Ir 0.2536 0.2536 0.2536  3 Co 2.55, 6 Ir 2.66, 3 Rh 2.70
Ir 0.7464 0.7464 0.7464  3 Co 2.55, 6 Ir 2.66, 3 Rh 2.70
Rh 0.5000 0.5000 0.5000  6 Rh 2.66, 6 Ir 2.70

Entry from Alexandria via LeMat-Bulk: a relaxed structure of InHg2 (PBEsol).

Properties
Theoretical density, Mg/m³: 11.92
Symmetry: Cmcm (63)
Final energy, eV per atom: -1.390
ΔE_f, eV/atom: -0.018

Unit cell a=5.5197 b=5.5197 c=5.4831 alpha=90.00 beta=90.00 gamma=59.35
Last column: nearest neighbours and their distance in Å.
Fractional positions:
In 0.2487 0.7513 0.7500  10 Hg 3.17-3.19
In 0.7513 0.2487 0.2500  10 Hg 3.17-3.19
Hg 0.0836 0.5808 0.2500  5 Hg 3.16-3.22, 5 In 3.17-3.19
Hg 0.4192 0.9164 0.2500  5 Hg 3.16-3.22, 5 In 3.17-3.19
Hg 0.5808 0.0836 0.7500  5 Hg 3.16-3.22, 5 In 3.17-3.19
Hg 0.9164 0.4192 0.7500  5 Hg 3.16-3.22, 5 In 3.17-3.19

Entry from Alexandria via LeMat-Bulk: a relaxed structure of Re2TcGeRu (PBEsol).

Properties
Theoretical density, Mg/m³: 10.98
Symmetry: P4/mmm (123)
Final energy, eV per atom: -8.465
ΔE_f, eV/atom: 2.143

Unit cell a=4.6233 b=4.6233 c=4.5557 alpha=90.00 beta=90.00 gamma=90.00
Last column: nearest neighbours and their distance in Å.
Fractional positions:
Re 0.0000 0.5000 0.0000  2 Ru 2.31
Re 0.5000 0.0000 0.0000  2 Ru 2.31
Tc 0.0000 0.0000 0.5000  2 Ru 2.28
Ge 0.5000 0.5000 0.5000  8 Re 3.25, 4 Tc 3.27
Ru 0.0000 0.0000 0.0000  2 Tc 2.28, 4 Re 2.31

Entry from Alexandria via LeMat-Bulk: a relaxed structure of Li2TcW (PBEsol).

Properties
Theoretical density, Mg/m³: 8.31
Symmetry: Pm (6)
Final energy, eV per atom: -6.910
ΔE_f, eV/atom: 0.341
Energy above the lowest structure with this stoichiometry, meV per atom: 0

Unit cell a=2.5365 b=4.2700 c=5.4946 alpha=90.00 beta=97.01 gamma=90.00
Last column: nearest neighbours and their distance in Å.
Fractional positions:
Li 0.0000 0.0000 0.0000  4 Li 2.51-2.54, 1 W 2.78, 2 Tc 2.80
Li 0.1450 0.5000 0.7765  4 Li 2.51-2.54, 1 Tc 2.79
Tc 0.7122 0.5000 0.2853  2 W 2.51, 2 Tc 2.54, 3 Li 2.79-2.80
W 0.4699 0.0000 0.4835  2 Tc 2.51, 2 W 2.54, 1 Li 2.78

Entry from Alexandria via LeMat-Bulk: a relaxed structure of ZrGe2IF (PBEsol).

Properties
Theoretical density, Mg/m³: 5.26
Symmetry: P4/mmm (123)
Final energy, eV per atom: -5.116
Energy relative to the elements, uncorrected, meV per atom: -583.9

Unit cell a=5.4171 b=5.4171 c=4.1129 alpha=90.00 beta=90.00 gamma=90.00
Last column: nearest neighbours and their distance in Å.
Fractional positions:
Zr 0.0000 0.0000 0.0000  2 F 2.06
Ge 0.0000 0.5000 0.0000  2 Zr 2.71
Ge 0.5000 0.0000 0.0000  2 Zr 2.71
I 0.5000 0.5000 0.5000  8 Ge 3.40
F 0.0000 0.0000 0.5000  2 Zr 2.06

Entry from Alexandria via LeMat-Bulk: a relaxed structure of Zr3CoGe (PBEsol).

Properties
Theoretical density, Mg/m³: 6.45
Symmetry: Pm-3m (221)
Final energy, eV per atom: -7.996
ΔE_f, eV/atom: -0.007

Unit cell a=4.7078 b=4.7078 c=4.7078 alpha=90.00 beta=90.00 gamma=90.00
Last column: nearest neighbours and their distance in Å.
Fractional positions:
Zr 0.0000 0.0000 0.5000  2 Co 2.35
Zr 0.0000 0.5000 0.0000  2 Co 2.35
Zr 0.5000 0.0000 0.0000  2 Co 2.35
Co 0.0000 0.0000 0.0000  6 Zr 2.35
Ge 0.5000 0.5000 0.5000  12 Zr 3.33

Entry from Alexandria via LeMat-Bulk: a relaxed structure of Er3Ni7B2 (PBEsol).

Properties
Theoretical density, Mg/m³: 10.32
Symmetry: P6_3/mmc (194)
Final energy, eV per atom: -6.573
ΔE_f, eV/atom: -0.580

Unit cell a=4.9648 b=4.9648 c=14.0852 alpha=90.00 beta=90.00 gamma=120.00
Last column: nearest neighbours and their distance in Å.
Fractional positions:
Er 0.3333 0.6667 0.0327  12 Ni 2.90-2.96, 4 Er 3.01-3.06
Er 0.3333 0.6667 0.2500  6 B 2.87, 12 Ni 2.87, 2 Er 3.06
Er 0.3333 0.6667 0.4673  12 Ni 2.90-2.96, 4 Er 3.01-3.06
Er 0.6667 0.3333 0.5327  12 Ni 2.90-2.96, 4 Er 3.01-3.06
Er 0.6667 0.3333 0.7500  6 B 2.87, 12 Ni 2.87, 2 Er 3.06
Er 0.6667 0.3333 0.9673  12 Ni 2.90-2.96, 4 Er 3.01-3.06
Ni 0.0000 0.0000 0.0000  6 Ni 2.52
Ni 0.0000 0.0000 0.5000  6 Ni 2.52
Ni 0.1657 0.3314 0.6475  2 B 2.03-2.04
Ni 0.1657 0.3314 0.8525  2 B 2.03-2.04
Ni 0.1657 0.8343 0.6475  2 B 2.03-2.04
Ni 0.1657 0.8343 0.8525  2 B 2.03-2.04
Ni 0.3314 0.1657 0.1475  2 B 2.03-2.04
Ni 0.3314 0.1657 0.3525  2 B 2.03-2.04
Ni 0.6686 0.8343 0.6475  2 B 2.03-2.04
Ni 0.6686 0.8343 0.8525  2 B 2.03-2.04
Ni 0.8343 0.1657 0.1475  2 B 2.03-2.04
Ni 0.8343 0.1657 0.3525  2 B 2.03-2.04
Ni 0.8343 0.6686 0.1475  2 B 2.03-2.04
Ni 0.8343 0.6686 0.3525  2 B 2.03-2.04
B 0.0000 0.0000 0.2500  6 Ni 2.03
B 0.0000 0.0000 0.7500  6 Ni 2.03
B 0.3333 0.6667 0.7500  6 Ni 2.04
B 0.6667 0.3333 0.2500  6 Ni 2.04

Entry from Alexandria via LeMat-Bulk: a relaxed structure of RbFePb2O (PBEsol).

Properties
Theoretical density, Mg/m³: 7.04
Symmetry: P4/mmm (123)
Final energy, eV per atom: -4.094
Energy relative to the elements, uncorrected, meV per atom: 553.2

Unit cell a=4.8880 b=4.8880 c=5.6458 alpha=90.00 beta=90.00 gamma=90.00
Last column: nearest neighbours and their distance in Å.
Fractional positions:
Rb 0.0000 0.0000 0.0000  2 Fe 2.82
Fe 0.0000 0.0000 0.5000  4 Pb 2.44
Pb 0.0000 0.5000 0.5000  2 Fe 2.44
Pb 0.5000 0.0000 0.5000  2 Fe 2.44
O 0.5000 0.5000 0.0000  4 Rb 3.46, 8 Pb 3.73

Entry from Alexandria via LeMat-Bulk: a relaxed structure of Ca2Ti2O5 (PBEsol).

Properties
Theoretical density, Mg/m³: 3.96
Symmetry: Pbam (55)
Final energy, eV per atom: -8.187
Energy relative to the elements, uncorrected, meV per atom: -2947.3
Energy above the lowest structure with this stoichiometry, meV per atom: 8

Unit cell a=5.2490 b=10.4248 c=3.9252 alpha=90.00 beta=90.00 gamma=90.00
Last column: nearest neighbours and their distance in Å.
Fractional positions:
Ca 0.2323 0.1165 0.0000  6 O 2.34-2.61
Ca 0.2677 0.6165 0.0000  6 O 2.34-2.61
Ca 0.7323 0.3835 0.0000  6 O 2.34-2.61
Ca 0.7677 0.8835 0.0000  6 O 2.34-2.61
Ti 0.2244 0.3716 0.5000  5 O 1.90-1.97
Ti 0.2756 0.8716 0.5000  5 O 1.90-1.97
Ti 0.7244 0.1284 0.5000  5 O 1.90-1.97
Ti 0.7756 0.6284 0.5000  5 O 1.90-1.97
O 0.0000 0.0000 0.5000  2 Ti 1.97
O 0.1092 0.7098 0.5000  2 Ti 1.90-1.95
O 0.2117 0.3847 0.0000  2 Ti 1.97
O 0.2883 0.8847 0.0000  2 Ti 1.97
O 0.3908 0.2098 0.5000  2 Ti 1.90-1.95
O 0.5000 0.5000 0.5000  2 Ti 1.97
O 0.6092 0.7902 0.5000  2 Ti 1.90-1.95
O 0.7117 0.1153 0.0000  2 Ti 1.97
O 0.7883 0.6153 0.0000  2 Ti 1.97
O 0.8908 0.2902 0.5000  2 Ti 1.90-1.95

DOS at the Fermi energy values, unit states/eV per atom, following the record order: 0.656; 0.352; 1.135; 1.113; 0.371; 1.344; 0.464; 0.786; 0.917; 0.411; 1.045; 0.426.